Below is SmU2Tc2 after structural relaxation, with properties calculated at the GGA-PBE level.

a b c (Å): 5.1602 13.8021 5.9553
angles (deg): 90.00 90.00 90.00
Space group Cmcm (No. 63)
Unique sites:
Sm 0.0000 0.0688 0.2500 (multiplicity 4)
U 0.0000 0.3029 0.5227 (multiplicity 8)
Tc 0.0000 0.1440 0.7500 (multiplicity 4)
Tc 0.0000 0.4405 0.2500 (multiplicity 4)

Calculated total energy (eV per atom): -9.532
ρ (g cm⁻³): 12.9



Below is Sm3U2Tc4 after structural relaxation, with properties calculated at the GGA-PBE level.

a b c (Å): 11.2573 4.2586 8.9362
angles (deg): 90.00 102.25 90.00
Space group C2/m (No. 12)
Unique sites:
Sm 0.0000 0.0000 0.0000 (multiplicity 2)
Sm 0.1249 0.5000 0.3834 (multiplicity 4)
U 0.1733 0.5000 0.7772 (multiplicity 4)
Tc 0.0895 0.0000 0.6396 (multiplicity 4)
Tc 0.2302 0.5000 0.0960 (multiplicity 4)

Calculated total energy (eV per atom): -8.817
ρ (g cm⁻³): 10.5



Below is SmUTc2 after structural relaxation, with properties calculated at the GGA-PBE level.

a b c (Å): 4.8595 4.8595 3.3932
angles (deg): 90.00 90.00 90.00
Space group P4/mmm (No. 123)
Unique sites:
Sm 0.0000 0.0000 0.0000 (multiplicity 1)
U 0.5000 0.5000 0.0000 (multiplicity 1)
Tc 0.0000 0.5000 0.5000 (multiplicity 2)

Calculated total energy (eV per atom): -9.023
ρ (g cm⁻³): 12.1
Relative energy among the computed polymorphs (meV per atom): 246



Below is SmUTc2 after structural relaxation, with properties calculated at the GGA-PBE level.

a b c (Å): 6.8484 6.8484 6.8484
angles (deg): 90.00 90.00 90.00
Space group Fm-3m (No. 225)
Unique sites:
Sm 0.0000 0.0000 0.0000 (multiplicity 4)
U 0.0000 0.0000 0.5000 (multiplicity 4)
Tc 0.2500 0.2500 0.2500 (multiplicity 8)

Calculated total energy (eV per atom): -9.014
ρ (g cm⁻³): 12.1
Relative energy among the computed polymorphs (meV per atom): 255